(1)
The following is a PBE calculation of a relaxed YCuMoPb crystal, from the Open Quantum Materials Database.

Output
Spin magnetization, μB/cell: 3.17
Crystal system: cubic
Electronic total energy, eV per atom: -5.5161
Energy relative to the lowest polymorph listed for this composition, eV/atom: 0.204
Space-group type: F-43m

Cell and atoms, written as POSCAR:
```
YCuMoPb
1.0
-4.4688 -2.0868 0.5210
-3.6644 1.1725 -3.1295
-1.5857 -3.3263 -3.3193
Mo Y Cu Pb
1 1 1 1
Direct
0.5000 0.5000 0.5000
0.2500 0.2500 0.2500
0.7500 0.7500 0.7500
0.0000 0.0000 0.0000
```



(2)
The following is a PBE calculation of a relaxed LuFeCuPb crystal, from the Open Quantum Materials Database.

Output
Spin magnetization, μB/cell: 2.40
Crystal system: cubic
Electronic total energy, eV per atom: -4.7716
Energy relative to the lowest polymorph listed for this composition, eV/atom: 0.200
Space-group type: F-43m

Cell and atoms, written as POSCAR:
```
LuFeCuPb
1.0
0.0000 3.3697 3.3697
3.3697 0.0000 3.3697
3.3697 3.3697 0.0000
Fe Pb Cu Lu
1 1 1 1
Direct
0.5000 0.5000 0.5000
0.0000 0.0000 0.0000
0.7500 0.7500 0.7500
0.2500 0.2500 0.2500
```



(3)
The following is a PBE calculation of a relaxed SiTePd crystal, from the Open Quantum Materials Database.

Output
Crystal system: cubic
Electronic total energy, eV per atom: -4.8468
Energy relative to the lowest polymorph listed for this composition, eV/atom: 0.000
Space-group type: P2_13

Cell and atoms, written as POSCAR:
```
SiTePd
1.0
-0.7485 6.1606 -0.6382
-1.4711 -0.8013 -6.0095
-6.0163 -0.5706 1.5488
Pd Si Te
4 4 4
Direct
0.5225 0.5225 0.5225
0.0225 0.9775 0.4775
0.9775 0.4775 0.0225
0.4775 0.0225 0.9775
0.6155 0.3845 0.8845
0.8845 0.6155 0.3845
0.1155 0.1155 0.1155
0.3845 0.8845 0.6155
0.8727 0.8727 0.8727
0.3727 0.6273 0.1273
0.6273 0.1273 0.3727
0.1273 0.3727 0.6273
```



(4)
The following is a PBE calculation of a relaxed MgNiSnW crystal, from the Open Quantum Materials Database.

Output
Spin magnetization, μB/cell: 2.31
Crystal system: cubic
Electronic total energy, eV per atom: -5.4304
Space-group type: F-43m

Cell and atoms, written as POSCAR:
```
MgNiSnW
1.0
0.0000 3.2173 3.2173
3.2173 0.0000 3.2173
3.2173 3.2173 0.0000
Mg Ni W Sn
1 1 1 1
Direct
0.2500 0.2500 0.2500
0.7500 0.7500 0.7500
0.5000 0.5000 0.5000
0.0000 0.0000 0.0000
```